Density functional theory data (GGA-PBEsol) for a geometry-optimized SrCa structure.

```
SrCa
1.0
-2.686 -2.957 -0.563
2.906 -2.745 0.552
-2.201 -0.107 11.061
Ca Sr
2 2
direct
0.500 0.000 0.113
0.000 0.500 0.887
0.500 0.000 0.637
0.000 0.500 0.363
```

Relative energy among the computed polymorphs: 0 meV per atom
Total energy: -1.97 eV per atom
Total moment: 0.0 μB per formula unit
E_form: 0.012 eV/atom